# NaLi6Ag6

Crystalline NaLi6Ag6 at its relaxed geometry (PBE-GGA, Alexandria via LeMat-Bulk).

POSCAR file:
```
NaLi6Ag6
1.0
5.1754 0.0000 2.0686
2.4626 6.6711 1.3474
0.1094 0.1774 7.2346
Na Li Ag
1 6 6
direct
0.0000 0.0000 0.0000 Na
0.3486 0.6514 0.6514 Li
0.6514 0.3486 0.3486 Li
0.0000 0.3362 0.6638 Li
0.0000 0.6638 0.3362 Li
0.3142 0.1858 0.1858 Li
0.6858 0.8142 0.8142 Li
0.0000 0.5000 0.0000 Ag
0.5000 0.5000 0.0000 Ag
0.0000 0.0000 0.5000 Ag
0.5000 0.0000 0.5000 Ag
0.5000 0.7652 0.2348 Ag
0.5000 0.2348 0.7652 Ag
```

Results
- E_form: -148 meV/atom
- SG: Immm (71)

# K2NpGaSe5

Crystalline K2NpGaSe5 at its relaxed geometry (PBE-GGA, Alexandria via LeMat-Bulk).

POSCAR file:
```
K2NpGaSe5
1.0
4.1131 0.0000 0.0000
-2.0565 9.6931 0.0000
0.0000 0.0000 14.2606
K Np Ga Se
4 2 2 10
direct
0.8761 0.7522 0.8270 K
0.1180 0.2360 0.6850 K
0.1239 0.2478 0.3270 K
0.8820 0.7640 0.1850 K
0.7966 0.5933 0.5259 Np
0.2034 0.4067 0.0259 Np
0.5662 0.1324 0.9226 Ga
0.4338 0.8676 0.4226 Ga
0.3370 0.6739 0.0092 Se
0.6937 0.3873 0.8881 Se
0.5049 0.0097 0.7832 Se
0.2984 0.5968 0.6547 Se
0.9447 0.8894 0.5283 Se
0.6630 0.3261 0.5092 Se
0.3063 0.6127 0.3881 Se
0.4951 0.9903 0.2832 Se
0.7016 0.4032 0.1547 Se
0.0553 0.1106 0.0283 Se
```

Results
- Formation energy (no corrections): -0.973 eV/atom
- SG: Cmc2_1 (36)